No. 1
4
Lattice="-2.933 3.407 0.412 -0.221 -3.522 2.818 8.099 6.361 5.044" Properties=species:S:1:pos:R:3 comment="KSr2As | Alexandria | GGA-PBEsol | optimized geometry" crystal_system=monoclinic magnetic_moment_mub_per_cell=0.00 formation_energy_ev_per_atom=-0.6284 vol_a3_per_atom=49.4 e_tot_ev_per_cell=-12.4 pbc="T T T"
Sr 3.015 5.014 4.733
Sr 1.929 1.232 3.541
As 4.049 3.180 2.522
K -1.466 1.704 0.206

No. 2
4
Lattice="-1.203 2.278 4.002 -2.117 -4.244 -0.398 4.635 -1.065 -0.178" Properties=species:S:1:pos:R:3 comment="SrPt2Br | Alexandria | GGA-PBEsol | optimized geometry" crystal_system=tetragonal magnetic_moment_mub_per_cell=0.00 raw_formation_energy_ev_per_atom=-0.12 vol_a3_per_atom=20.6 e_tot_ev_per_cell=-18.1 pbc="T T T"
Sr 1.259 -2.654 -0.288
Br 2.346 -0.721 1.768
Pt 0.000 0.000 0.000
Pt -1.031 -2.310 1.658

No. 3
5
Lattice="-2.208 0.232 -4.920 -1.654 -5.113 0.501 -4.639 1.713 2.162" Properties=species:S:1:pos:R:3 comment="NaSn3Ge | Alexandria | GGA-PBEsol | optimized geometry" crystal_system=cubic magnetic_moment_mub_per_cell=0.00 formation_energy_ev_per_atom=0.3311 vol_a3_per_atom=31.4 e_tot_ev_per_cell=-17.5 pbc="T T T"
Na -4.250 -1.584 -1.128
Ge 0.000 0.000 0.000
Sn -0.827 -2.556 0.251
Sn -2.319 0.856 1.081
Sn -1.104 0.116 -2.460

No. 4
4
Lattice="-2.312 0.237 3.012 -0.847 -3.692 -0.359 4.838 0.729 1.254" Properties=species:S:1:pos:R:3 comment="Mg2ReIr | Alexandria | GGA-PBEsol | optimized geometry" crystal_system=tetragonal magnetic_moment_mub_per_cell=0.00 formation_energy_ev_per_atom=0.2423 vol_a3_per_atom=15.5 e_tot_ev_per_cell=-25.6 pbc="T T T"
Ir 0.000 0.000 0.000
Mg 0.473 -0.381 2.796
Mg 1.206 -2.345 1.110
Re -1.579 -1.727 1.326

No. 5
5
Lattice="3.894 0.000 0.000 0.000 3.894 0.000 0.000 0.000 4.495" Properties=species:S:1:pos:R:3 comment="NaTaSN2 | Alexandria | GGA-PBEsol | optimized geometry" crystal_system=tetragonal magnetic_moment_mub_per_cell=2.14 raw_formation_energy_ev_per_atom=1.94 vol_a3_per_atom=13.6 e_tot_ev_per_cell=-25.7 pbc="T T T"
Na 0.000 0.000 0.000
S 0.000 0.000 2.247
N 0.000 1.947 0.000
N 1.947 0.000 0.000
Ta 1.947 1.947 2.247

No. 6
4
Lattice="-0.100 0.252 3.692 3.289 -1.688 0.204 3.816 7.383 -0.399" Properties=species:S:1:pos:R:3 comment="TlAsBr2 | Alexandria | GGA-PBEsol | optimized geometry" crystal_system=tetragonal magnetic_moment_mub_per_cell=0.00 raw_formation_energy_ev_per_atom=-0.05 vol_a3_per_atom=28.5 e_tot_ev_per_cell=-11.7 pbc="T T T"
Tl 1.830 3.541 -0.192
As 4.728 5.346 1.620
Br 3.497 6.767 -0.366
Br 2.673 1.369 1.835

No. 7
6
Lattice="-2.690 -1.479 0.221 1.810 -3.628 -2.246 3.635 -2.395 6.797" Properties=species:S:1:pos:R:3 comment="Cd5Cu | Alexandria | GGA-PBEsol | optimized geometry" crystal_system=orthorhombic magnetic_moment_mub_per_cell=0.00 formation_energy_ev_per_atom=0.0436 vol_a3_per_atom=18.8 e_tot_ev_per_cell=-10.1 pbc="T T T"
Cd 0.024 -0.033 0.074
Cd 1.533 -2.098 4.624
Cd -0.614 -1.740 2.315
Cd 2.989 -4.666 5.162
Cd 0.782 -4.226 2.674
Cu 1.417 -2.515 0.423

No. 8
4
Lattice="-0.540 -2.849 0.609 2.837 -0.373 0.772 -1.268 1.379 5.324" Properties=species:S:1:pos:R:3 comment="Mn2CoAu | Alexandria | GGA-PBEsol | optimized geometry" crystal_system=tetragonal magnetic_moment_mub_per_cell=4.30 formation_energy_ev_per_atom=0.2618 vol_a3_per_atom=12.4 e_tot_ev_per_cell=-30.1 pbc="T T T"
Au -0.638 0.694 2.680
Co 0.142 -0.516 4.917
Mn -1.257 1.368 5.280
Mn 0.881 -1.320 1.814

No. 9
3
Lattice="-3.016 1.040 0.640 -1.181 -2.920 -0.819 2.685 -0.923 5.884" Properties=species:S:1:pos:R:3 comment="BaAsOs | Alexandria | GGA-PBEsol | optimized geometry" crystal_system=tetragonal magnetic_moment_mub_per_cell=0.00 formation_energy_ev_per_atom=0.0673 vol_a3_per_atom=21.6 e_tot_ev_per_cell=-19.3 pbc="T T T"
As -1.561 -2.645 5.216
Os 0.435 -1.382 4.300
Ba -1.898 -1.578 1.894

No. 10
4
Lattice="-1.258 2.507 0.641 -0.934 -1.753 5.023 5.276 1.367 -1.446" Properties=species:S:1:pos:R:3 comment="SbW2Br | Alexandria | GGA-PBEsol | optimized geometry" crystal_system=orthorhombic magnetic_moment_mub_per_cell=0.00 raw_formation_energy_ev_per_atom=1.18 vol_a3_per_atom=18.4 e_tot_ev_per_cell=-29.3 pbc="T T T"
Sb -0.467 -0.876 2.512
Br -0.629 1.253 0.320
W 1.035 1.266 3.538
W 2.049 0.855 0.679

No. 11
4
Lattice="-2.791 -1.232 0.464 -0.277 -0.754 -3.671 2.496 -5.312 0.903" Properties=species:S:1:pos:R:3 comment="Al2CrSb | Alexandria | GGA-PBEsol | optimized geometry" crystal_system=orthorhombic magnetic_moment_mub_per_cell=2.48 raw_formation_energy_ev_per_atom=0.24 vol_a3_per_atom=17.2 e_tot_ev_per_cell=-22.0 pbc="T T T"
Sb 0.294 -4.883 -0.942
Al 0.081 -0.173 0.029
Al -0.875 -2.395 -1.365
Cr 1.177 -2.505 0.426

No. 12
4
Lattice="3.409 0.000 0.000 1.704 2.952 0.000 1.704 0.984 7.023" Properties=species:S:1:pos:R:3 comment="CuRhCl2 | Alexandria | GGA-PBEsol | optimized geometry" crystal_system=trigonal magnetic_moment_mub_per_cell=0.00 raw_formation_energy_ev_per_atom=-0.18 vol_a3_per_atom=17.7 e_tot_ev_per_cell=-17.2 pbc="T T T"
Rh 1.704 0.984 1.795
Cu 3.409 1.968 3.417
Cl 5.113 2.952 0.625
Cl 5.113 2.952 4.697